Record 1
This record from Alexandria describes crystalline MoRh4 at its relaxed geometry. The functional is GGA-PBE.

Output
energy of formation: -0.12 eV per atom
Fermi-level density of states: 10.70 states/eV per cell
VASP energy: -8.17 eV per atom
space group: P-1, No. 2
size of the total moment: 0.00 μB/cell

Geometry as POSCAR:
```
MoRh4
1.0
6.104 -0.086 -0.007
-3.001 2.932 -2.169
0.019 0.625 7.719
Mo Rh
2 8
Direct
0.612 0.114 0.660
0.188 0.486 0.241
0.400 0.300 0.450
0.791 0.899 0.353
0.002 0.705 0.051
0.201 0.501 0.747
0.599 0.099 0.153
0.400 0.300 0.950
0.798 0.895 0.849
0.008 0.701 0.547
```

***

Record 2
This record from Alexandria describes crystalline RhSeCl at its relaxed geometry. The functional is GGA-PBE.

Output
formation energy (no corrections): 0.08 eV/atom
Fermi-level density of states: 1.82 states/eV per cell
VASP energy: -4.15 eV per atom
space group: I4mm, No. 107
size of the total moment: 0.00 μB/cell

Geometry as POSCAR:
```
RhSeCl
1.0
5.512 -0.004 -0.015
3.288 4.424 0.015
-4.395 -2.221 2.478
Cl Rh Se
1 1 1
Direct
0.024 0.024 0.000
0.269 0.269 0.000
0.707 0.707 0.000
```

***

Record 3
This record from Alexandria describes crystalline Ge2PdRh at its relaxed geometry. The functional is GGA-PBE.

Output
energy of formation: -0.04 eV per atom
relative energy among the computed polymorphs: 319.2 meV per atom
Fermi-level density of states: 3.69 states/eV per cell
VASP energy: -5.48 eV per atom
space group: I-42d, No. 122
size of the total moment: 0.00 μB/cell

Geometry as POSCAR:
```
Ge2PdRh
1.0
5.667 0.000 0.000
0.000 5.667 0.000
2.834 2.834 5.384
Ge Rh Pd
4 2 2
Direct
0.615 0.125 0.250
0.135 0.625 0.250
0.375 0.385 0.750
0.875 0.865 0.750
0.500 0.500 0.000
0.250 0.750 0.500
0.000 0.000 0.000
0.750 0.250 0.500
```

***

Record 4
This record from Alexandria describes crystalline SrLaCrN3 at its relaxed geometry. The functional is GGA-PBE.

Output
formation energy (no corrections): -0.81 eV/atom
Fermi-level density of states: 6.12 states/eV per cell
VASP energy: -7.67 eV per atom
space group: C2/m, No. 12
size of the total moment: 0.00 μB/cell

Geometry as POSCAR:
```
SrLaCrN3
1.0
-3.657 -1.132 -0.347
2.884 -4.247 4.754
-2.201 5.960 3.751
Sr La Cr N
2 2 2 6
Direct
0.357 0.713 0.925
0.643 0.287 0.075
0.648 0.297 0.570
0.352 0.703 0.430
0.997 0.994 0.262
0.003 0.006 0.738
0.857 0.714 0.185
0.848 0.695 0.658
0.503 0.006 0.266
0.152 0.305 0.342
0.497 0.994 0.734
0.143 0.286 0.815
```

***

Record 5
This record from Alexandria describes crystalline RbTiS2 at its relaxed geometry. The functional is GGA-PBE.

Output
formation energy (no corrections): -0.96 eV/atom
Fermi-level density of states: 4.68 states/eV per cell
VASP energy: -5.23 eV per atom
space group: Cmcm, No. 63
size of the total moment: 0.00 μB/cell

Geometry as POSCAR:
```
RbTiS2
1.0
0.216 9.858 4.987
-3.419 -9.912 -3.488
1.872 -2.027 3.926
S Rb Ti
4 2 2
Direct
0.354 0.646 0.250
0.646 0.354 0.750
0.039 0.961 0.250
0.961 0.039 0.750
0.188 0.812 0.250
0.812 0.188 0.750
0.458 0.542 0.250
0.542 0.458 0.750
```